[1]
8
Lattice="-2.754 2.754 8.574 2.754 -2.754 8.574 2.754 2.754 -8.574" Properties=species:S:1:pos:R:3 comment="PBE K2MgTl5, optimized geometry" e_tot_ev_per_fu=-16.200 ef_ev_per_atom=-0.07 density_g_cm3=7.177 sg=I4/mmm pbc="T T T"
K 0.000 0.000 4.282
K 0.000 0.000 12.866
Mg 0.000 0.000 0.000
Tl 2.754 0.000 1.770
Tl 2.754 0.000 6.804
Tl 0.000 0.000 8.574
Tl 0.000 2.754 1.770
Tl 0.000 2.754 6.804

---

[2]
4
Lattice="3.375 0.000 0.000 0.000 3.375 0.000 0.000 0.000 10.513" Properties=species:S:1:pos:R:3 comment="PBE PuTlPb2, optimized geometry" e_tot_ev_per_fu=-24.200 ef_ev_per_atom=-0.02 relative_energy_ev_per_atom=0.093 density_g_cm3=11.962 sg=P4/mmm pbc="T T T"
Pu 0.000 0.000 0.000
Tl 0.000 0.000 5.256
Pb 1.688 1.688 2.484
Pb 1.688 1.688 8.029

---

[3]
4
Lattice="1.987 1.147 8.167 -1.987 1.147 8.167 0.000 -2.295 8.167" Properties=species:S:1:pos:R:3 comment="PBE Ac2ZnC, optimized geometry" e_tot_ev_per_fu=-18.340 ef_ev_per_atom=0.09 density_g_cm3=7.897 sg=R-3m pbc="T T T"
Ac 0.000 0.000 5.634
Ac 0.000 0.000 18.867
Zn 0.000 0.000 0.000
C 0.000 0.000 12.251

---

[4]
14
Lattice="-4.992 4.992 5.150 4.992 -4.992 5.150 4.992 4.992 -5.150" Properties=species:S:1:pos:R:3 comment="PBE La8Nd5Er, optimized geometry" e_tot_ev_per_fu=-64.700 ef_ev_per_atom=0.22 density_g_cm3=6.468 sg=I-4 pbc="T T T"
La 4.319 1.686 -0.929
La 1.875 -0.813 2.622
La 3.117 5.805 -2.528
La 3.307 -0.673 6.080
La 4.179 3.117 2.528
La 1.686 5.665 0.929
La 0.673 3.307 4.221
La 0.813 1.875 7.679
Nd 7.941 1.016 -0.791
Nd 1.016 2.043 0.791
Nd 0.000 0.000 5.150
Nd -2.949 3.976 4.359
Nd 3.976 2.949 5.942
Er 4.992 0.000 2.575

---

[5]
5
Lattice="5.472 0.000 0.000 0.000 5.472 0.000 0.000 0.000 5.472" Properties=species:S:1:pos:R:3 comment="PBE NaY3V, optimized geometry" e_tot_ev_per_fu=-23.445 ef_ev_per_atom=1.28 relative_energy_ev_per_atom=0.797 density_g_cm3=3.453 sg=Pm-3m pbc="T T T"
Na 0.000 0.000 0.000
Y 0.000 0.000 2.736
Y 0.000 2.736 0.000
Y 2.736 0.000 0.000
V 2.736 2.736 2.736

---

[6]
8
Lattice="6.912 0.000 0.000 -3.456 5.986 0.000 0.000 0.000 5.518" Properties=species:S:1:pos:R:3 comment="PBE YPu3, optimized geometry" e_tot_ev_per_fu=-48.320 ef_ev_per_atom=0.28 relative_energy_ev_per_atom=0.013 density_g_cm3=11.941 sg=P6_3/mmc pbc="T T T"
Y 0.000 3.991 1.379
Y 3.456 1.995 4.138
Pu 0.000 1.950 4.138
Pu -1.767 5.011 4.138
Pu 1.689 0.975 1.379
Pu 1.767 5.011 4.138
Pu 5.224 0.975 1.379
Pu 3.456 4.036 1.379

---

[7]
5
Lattice="4.692 0.000 0.000 0.000 4.692 0.000 0.000 0.000 4.671" Properties=species:S:1:pos:R:3 comment="PBE CuReTc2Au, optimized geometry" e_tot_ev_per_fu=-32.767 ef_ev_per_atom=1.56 density_g_cm3=10.378 sg=P4/mmm pbc="T T T"
Cu 0.000 0.000 0.000
Re 0.000 0.000 2.336
Tc 0.000 2.346 2.336
Tc 2.346 0.000 2.336
Au 2.346 2.346 0.000

---

[8]
14
Lattice="7.866 -3.175 0.000 7.866 3.175 0.000 -0.934 0.000 7.219" Properties=species:S:1:pos:R:3 comment="PBE Dy5Ru2, optimized geometry" e_tot_ev_per_fu=-44.079 ef_ev_per_atom=-0.36 density_g_cm3=9.344 sg=C2/c pbc="T T T"
Dy 7.165 2.673 5.414
Dy 3.121 0.486 2.267
Dy 2.654 -0.486 5.877
Dy 6.324 0.720 0.616
Dy 8.941 0.720 2.993
Dy 5.856 -0.720 4.225
Dy 8.473 -0.720 6.603
Dy 12.143 0.486 1.342
Dy 11.676 -0.486 4.951
Dy 7.632 -2.673 1.805
Ru 5.726 1.817 3.060
Ru 9.538 1.817 0.549
Ru 5.259 -1.817 6.670
Ru 9.071 -1.817 4.158